Arrangement A

Computed, not measured: Be2InRu at its PBEsol-relaxed geometry at the meta-GGA SCAN level of DFT.

a b c (Å): 4.202 4.202 4.202
angles (deg): 60.00 60.00 60.00
Fractional coordinates of all 4 atoms:
Be: 0.000 0.000 0.000
Be: 0.250 0.250 0.250
In: 0.750 0.750 0.750
Ru: 0.500 0.500 0.500

Calculated values
Total magnetic moment   0.00 μB per formula unit

Arrangement B

Computed, not measured: Be2InRu at its PBEsol-relaxed geometry at the meta-GGA SCAN level of DFT.

a b c (Å): 4.345 4.345 4.451
angles (deg): 104.92 104.92 41.81
Fractional coordinates of all 4 atoms:
Be: 0.220 0.220 0.133
Be: 0.780 0.780 0.867
In: 0.000 0.000 0.500
Ru: 0.500 0.500 0.000

Calculated values
Total magnetic moment   0.00 μB per formula unit

Arrangement C

Computed, not measured: Be2InRu at its PBEsol-relaxed geometry at the meta-GGA SCAN level of DFT.

a b c (Å): 3.936 3.936 3.169
angles (deg): 90.00 90.00 90.00
Fractional coordinates of all 4 atoms:
Be: 0.000 0.500 0.000
Be: 0.500 0.000 0.000
In: 0.000 0.000 0.500
Ru: 0.500 0.500 0.500

Calculated values
Total magnetic moment   0.00 μB per formula unit

Most stable structure - arrangement B; separation to the second - 19 meV/atom.

Arrangement A

Computed, not measured: Be2InRu at its PBEsol-relaxed geometry at the meta-GGA SCAN level of DFT.

a b c (Å): 4.101 4.101 4.101
angles (deg): 60.00 60.00 60.00
Fractional coordinates of all 4 atoms:
Be: 0.250 0.250 0.250
Be: 0.750 0.750 0.750
In: 0.000 0.000 0.000
Ru: 0.500 0.500 0.500

Calculated values
Total magnetic moment   0.00 μB per formula unit

Arrangement B

Computed, not measured: Be2InRu at its PBEsol-relaxed geometry at the meta-GGA SCAN level of DFT.

a b c (Å): 4.758 4.758 4.758
angles (deg): 136.61 136.61 63.03
Fractional coordinates of all 4 atoms:
Be: 0.000 0.000 0.000
Be: 0.750 0.250 0.500
In: 0.500 0.500 0.000
Ru: 0.250 0.750 0.500

Calculated values
Total magnetic moment   0.00 μB per formula unit

Most stable structure - arrangement B; separation to the second - 52 meV/atom.

Arrangement A

Computed, not measured: Sc2BeIn at its PBEsol-relaxed geometry at the meta-GGA SCAN level of DFT.

a b c (Å): 3.249 3.249 6.969
angles (deg): 90.00 90.00 90.00
Fractional coordinates of all 4 atoms:
Sc: 0.000 0.000 0.215
Sc: 0.000 0.000 0.785
Be: 0.500 0.500 0.000
In: 0.500 0.500 0.500

Calculated values
Total magnetic moment   0.00 μB per formula unit

Arrangement B

Computed, not measured: Sc2BeIn at its PBEsol-relaxed geometry at the meta-GGA SCAN level of DFT.

a b c (Å): 5.652 5.652 5.652
angles (deg): 145.95 131.04 60.98
Fractional coordinates of all 4 atoms:
Sc: 0.000 0.000 0.000
Sc: 0.722 0.222 0.500
Be: 0.242 0.742 0.500
In: 0.437 0.437 0.000

Calculated values
Total magnetic moment   0.00 μB per formula unit

Most stable structure - arrangement A; separation to the second - 136 meV/atom.

Arrangement A

Computed, not measured: Sc3BeIn at its PBEsol-relaxed geometry at the meta-GGA SCAN level of DFT.

a b c (Å): 4.773 4.773 4.773
angles (deg): 90.00 90.00 90.00
Fractional coordinates of all 5 atoms:
Sc: 0.000 0.000 0.500
Sc: 0.000 0.500 0.000
Sc: 0.500 0.000 0.000
Be: 0.000 0.000 0.000
In: 0.500 0.500 0.500

Calculated values
Total magnetic moment   0.00 μB per formula unit

Arrangement B

Computed, not measured: Sc3BeIn at its PBEsol-relaxed geometry at the meta-GGA SCAN level of DFT.

a b c (Å): 5.239 5.239 5.239
angles (deg): 90.00 90.00 90.00
Fractional coordinates of all 5 atoms:
Sc: 0.000 0.000 0.500
Sc: 0.000 0.500 0.000
Sc: 0.500 0.000 0.000
Be: 0.500 0.500 0.500
In: 0.000 0.000 0.000

Calculated values
Total magnetic moment   1.32 μB per formula unit

Most stable structure - arrangement A; separation to the second - 860 meV/atom.

Arrangement A

Computed, not measured: BeInSe2 at its PBEsol-relaxed geometry at the meta-GGA SCAN level of DFT.

a b c (Å): 7.347 7.347 7.347
angles (deg): 34.31 34.31 34.31
Fractional coordinates of all 4 atoms:
Be: 0.000 0.000 0.000
In: 0.500 0.500 0.500
Se: 0.097 0.097 0.097
Se: 0.903 0.903 0.903

Calculated values
Total magnetic moment   0.00 μB per formula unit

Arrangement B

Computed, not measured: BeInSe2 at its PBEsol-relaxed geometry at the meta-GGA SCAN level of DFT.

a b c (Å): 4.201 3.753 6.180
angles (deg): 90.00 101.09 90.00
Fractional coordinates of all 4 atoms:
Be: 0.000 0.000 0.000
In: 0.736 0.500 0.403
Se: 0.223 0.000 0.348
Se: 0.813 0.500 0.855

Calculated values
Total magnetic moment   0.00 μB per formula unit

Arrangement C

Computed, not measured: BeInSe2 at its PBEsol-relaxed geometry at the meta-GGA SCAN level of DFT.

a b c (Å): 8.725 8.725 8.725
angles (deg): 21.52 21.52 21.52
Fractional coordinates of all 4 atoms:
Be: 0.000 0.000 0.000
In: 0.500 0.500 0.500
Se: 0.388 0.388 0.388
Se: 0.612 0.612 0.612

Calculated values
Total magnetic moment   0.00 μB per formula unit

Arrangement D

Computed, not measured: BeInSe2 at its PBEsol-relaxed geometry at the meta-GGA SCAN level of DFT.

a b c (Å): 3.896 3.414 6.494
angles (deg): 90.00 93.25 90.00
Fractional coordinates of all 4 atoms:
Be: 0.000 0.000 0.000
In: 0.500 0.000 0.500
Se: 0.113 0.500 0.781
Se: 0.887 0.500 0.219

Calculated values
Total magnetic moment   0.00 μB per formula unit

Most stable structure - arrangement B; separation to the second - 245 meV/atom.

Arrangement A

Computed, not measured: BeInSe2 at its PBEsol-relaxed geometry at the meta-GGA SCAN level of DFT.

a b c (Å): 4.752 4.752 4.752
angles (deg): 60.00 60.00 60.00
Fractional coordinates of all 4 atoms:
Be: 0.000 0.000 0.000
In: 0.500 0.500 0.500
Se: 0.250 0.250 0.250
Se: 0.750 0.750 0.750

Calculated values
Total magnetic moment   0.00 μB per formula unit

Arrangement B

Computed, not measured: BeInSe2 at its PBEsol-relaxed geometry at the meta-GGA SCAN level of DFT.

a b c (Å): 4.054 4.054 7.251
angles (deg): 90.00 90.00 128.16
Fractional coordinates of all 4 atoms:
Be: 0.000 0.000 0.000
In: 0.000 0.000 0.500
Se: 0.500 0.500 0.204
Se: 0.500 0.500 0.796

Calculated values
Total magnetic moment   0.00 μB per formula unit

Arrangement C

Computed, not measured: BeInSe2 at its PBEsol-relaxed geometry at the meta-GGA SCAN level of DFT.

a b c (Å): 7.597 7.597 7.597
angles (deg): 28.60 28.60 28.60
Fractional coordinates of all 4 atoms:
Be: 0.000 0.000 0.000
In: 0.223 0.223 0.223
Se: 0.488 0.488 0.488
Se: 0.685 0.685 0.685

Calculated values
Total magnetic moment   0.00 μB per formula unit

Most stable structure - arrangement C; separation to the second - 171 meV/atom.

Arrangement A

Computed, not measured: BeIn2Se at its PBEsol-relaxed geometry at the meta-GGA SCAN level of DFT.

a b c (Å): 3.452 3.452 7.203
angles (deg): 90.00 90.00 105.44
Fractional coordinates of all 4 atoms:
Be: 0.000 0.000 0.000
In: 0.500 0.500 0.232
In: 0.500 0.500 0.768
Se: 0.000 0.000 0.500

Calculated values
Total magnetic moment   0.00 μB per formula unit

Arrangement B

Computed, not measured: BeIn2Se at its PBEsol-relaxed geometry at the meta-GGA SCAN level of DFT.

a b c (Å): 5.949 5.949 5.949
angles (deg): 140.35 140.35 57.33
Fractional coordinates of all 4 atoms:
Be: 0.000 0.000 0.000
In: 0.250 0.750 0.500
In: 0.750 0.250 0.500
Se: 0.500 0.500 0.000

Calculated values
Total magnetic moment   0.00 μB per formula unit

Most stable structure - arrangement A; separation to the second - 99 meV/atom.

Arrangement A

Computed, not measured: BeInSi2 at its PBEsol-relaxed geometry at the meta-GGA SCAN level of DFT.

a b c (Å): 4.362 4.362 3.707
angles (deg): 90.00 90.00 111.10
Fractional coordinates of all 4 atoms:
Be: 0.000 0.000 0.000
In: 0.500 0.500 0.000
Si: 0.183 0.817 0.500
Si: 0.817 0.183 0.500

Calculated values
Total magnetic moment   0.00 μB per formula unit

Arrangement B

Computed, not measured: BeInSi2 at its PBEsol-relaxed geometry at the meta-GGA SCAN level of DFT.

a b c (Å): 2.912 2.912 7.592
angles (deg): 90.00 90.00 90.00
Fractional coordinates of all 4 atoms:
Be: 0.000 0.000 0.000
In: 0.000 0.000 0.500
Si: 0.500 0.500 0.177
Si: 0.500 0.500 0.823

Calculated values
Total magnetic moment   0.00 μB per formula unit

Most stable structure - arrangement A; separation to the second - 129 meV/atom.

Arrangement A

Computed, not measured: Be2InTe at its PBEsol-relaxed geometry at the meta-GGA SCAN level of DFT.

a b c (Å): 5.091 5.091 5.091
angles (deg): 139.52 111.16 83.02
Fractional coordinates of all 4 atoms:
Be: 0.237 0.237 0.000
Be: 0.763 0.763 0.000
In: 0.500 0.000 0.500
Te: 0.000 0.500 0.500

Calculated values
Total magnetic moment   0.00 μB per formula unit

Arrangement B

Computed, not measured: Be2InTe at its PBEsol-relaxed geometry at the meta-GGA SCAN level of DFT.

a b c (Å): 6.465 6.465 6.465
angles (deg): 124.50 124.50 82.36
Fractional coordinates of all 8 atoms:
Be: 0.106 0.625 0.981
Be: 0.375 0.356 0.481
Be: 0.644 0.125 0.019
Be: 0.875 0.894 0.519
In: 0.250 0.750 0.500
In: 0.500 0.500 0.000
Te: 0.000 0.000 0.000
Te: 0.750 0.250 0.500

Calculated values
Total magnetic moment   0.00 μB per formula unit

Most stable structure - arrangement B; separation to the second - 303 meV/atom.

Arrangement A

Computed, not measured: BeIn2Te at its PBEsol-relaxed geometry at the meta-GGA SCAN level of DFT.

a b c (Å): 5.883 5.883 3.115
angles (deg): 90.00 90.00 119.24
Fractional coordinates of all 4 atoms:
Be: 0.000 0.000 0.000
In: 0.000 0.500 0.500
In: 0.500 0.000 0.500
Te: 0.500 0.500 0.000

Calculated values
Total magnetic moment   0.00 μB per formula unit

Arrangement B

Computed, not measured: BeIn2Te at its PBEsol-relaxed geometry at the meta-GGA SCAN level of DFT.

a b c (Å): 4.018 4.018 5.844
angles (deg): 90.00 90.00 90.00
Fractional coordinates of all 4 atoms:
Be: 0.000 0.000 0.000
In: 0.000 0.500 0.500
In: 0.500 0.000 0.500
Te: 0.500 0.500 0.000

Calculated values
Total magnetic moment   0.00 μB per formula unit

Arrangement C

Computed, not measured: BeIn2Te at its PBEsol-relaxed geometry at the meta-GGA SCAN level of DFT.

a b c (Å): 5.075 5.075 5.075
angles (deg): 60.00 60.00 60.00
Fractional coordinates of all 4 atoms:
Be: 0.000 0.000 0.000
In: 0.250 0.250 0.250
In: 0.500 0.500 0.500
Te: 0.750 0.750 0.750

Calculated values
Total magnetic moment   0.00 μB per formula unit

Most stable structure - arrangement B; separation to the second - 108 meV/atom.

Arrangement A

Computed, not measured: BeTl2In at its PBEsol-relaxed geometry at the meta-GGA SCAN level of DFT.

a b c (Å): 4.608 4.608 7.184
angles (deg): 107.28 107.28 41.82
Fractional coordinates of all 4 atoms:
Be: 0.000 0.000 0.000
Tl: 0.471 0.471 0.660
Tl: 0.652 0.652 0.335
In: 0.281 0.281 0.997

Calculated values
Total magnetic moment   0.00 μB per formula unit

Arrangement B

Computed, not measured: BeTl2In at its PBEsol-relaxed geometry at the meta-GGA SCAN level of DFT.

a b c (Å): 7.473 7.473 7.473
angles (deg): 155.45 147.17 41.42
Fractional coordinates of all 4 atoms:
Be: 0.000 0.000 0.000
Tl: 0.175 0.675 0.500
Tl: 0.825 0.325 0.500
In: 0.500 0.500 0.000

Calculated values
Total magnetic moment   0.00 μB per formula unit

Most stable structure - arrangement A; separation to the second - 32 meV/atom.

Arrangement A

Computed, not measured: BeInW at its PBEsol-relaxed geometry at the meta-GGA SCAN level of DFT.

a b c (Å): 6.444 6.444 6.444
angles (deg): 155.27 155.27 35.26
Fractional coordinates of all 3 atoms:
Be: 0.000 0.000 0.000
In: 0.677 0.677 0.000
W: 0.366 0.366 0.000

Calculated values
Total magnetic moment   0.00 μB per formula unit

Arrangement B

Computed, not measured: BeInW at its PBEsol-relaxed geometry at the meta-GGA SCAN level of DFT.

a b c (Å): 4.061 4.061 4.061
angles (deg): 60.00 60.00 60.00
Fractional coordinates of all 3 atoms:
Be: 0.000 0.000 0.000
In: 0.250 0.250 0.250
W: 0.750 0.750 0.750

Calculated values
Total magnetic moment   1.23 μB per formula unit

Most stable structure - arrangement A; separation to the second - 296 meV/atom.